No. 1
This record from the Open Quantum Materials Database describes a relaxed Gd2YAl3AgPd2 crystal. The functional is PBE-GGA.

abc: 3.916 7.410 7.410
angles: 120.12 90.00 90.00
Sites, in units of the cell vectors:
Gd: 0.000 0.584 0.000
Gd: 0.000 0.000 0.584
Al: 0.500 0.253 0.002
Al: 0.500 0.002 0.253
Al: 0.500 0.746 0.746
Y: 0.000 0.415 0.415
Pd: 0.500 0.667 0.334
Pd: 0.500 0.334 0.667
Ag: 0.000 0.000 0.000

Values from the calculation:
Total DFT energy (no corrections) in eV/atom: -5.16
Symmetry: Amm2, No. 38
ρ in g/cm3: 7.19

---

No. 2
This record from the Open Quantum Materials Database describes a relaxed Tb2GdAl3AgPt2 crystal. The functional is PBE-GGA.

abc: 3.935 7.373 7.373
angles: 120.03 90.00 90.00
Sites, in units of the cell vectors:
Ag: 0.000 0.001 0.001
Pt: 0.500 0.332 0.667
Pt: 0.500 0.667 0.332
Al: 0.500 0.257 0.257
Al: 0.500 0.000 0.743
Al: 0.500 0.743 0.000
Gd: 0.000 0.584 0.584
Tb: 0.000 0.000 0.415
Tb: 0.000 0.415 0.000

Values from the calculation:
Total DFT energy (no corrections) in eV/atom: -5.32
Symmetry: Amm2, No. 38
ρ in g/cm3: 9.45